No. 1
First-principles (PBE) data for a relaxed structure of CsLiGeP2, as listed in Alexandria.

Cell and atoms, written as CIF:
```
data_CsLiGeP2
_space_group_name_H-M_alt 'C 1 2/m 1'
_space_group_IT_number 12
_cell_length_a 13.348
_cell_length_b 3.969
_cell_length_c 10.104
_cell_angle_alpha 90.00
_cell_angle_beta 98.94
_cell_angle_gamma 90.00
loop_
_space_group_symop_operation_xyz
'x,y,z'
'-x,-y,-z'
'-x,y,-z'
'x,-y,z'
'x+1/2,y+1/2,z'
'-x+1/2,-y+1/2,-z'
'-x+1/2,y+1/2,-z'
'x+1/2,-y+1/2,z'
loop_
_atom_site_label
_atom_site_fract_x
_atom_site_fract_y
_atom_site_fract_z
Cs1 0.148 0.000 0.158
Li1 0.188 0.000 0.563
Ge1 0.055 0.500 0.651
P1 0.114 0.000 0.783
P2 0.118 0.500 0.443
```

Output
* V: 132.2 Å³/f.u.
* crystal system: monoclinic
* formation energy: -0.3741 eV per atom



No. 2
First-principles (PBE) data for a relaxed structure of Cs2LiGeS, as listed in Alexandria.

Cell and atoms, written as CIF:
```
data_Cs2LiGeS
_space_group_name_H-M_alt 'P 4/m m m'
_space_group_IT_number 123
_space_group_name_Hall '-P 4 2'
_cell_length_a 6.848
_cell_length_b 6.848
_cell_length_c 4.244
_cell_angle_alpha 90.00
_cell_angle_beta 90.00
_cell_angle_gamma 90.00
loop_
_atom_site_label
_atom_site_fract_x
_atom_site_fract_y
_atom_site_fract_z
Cs1 0.000 0.500 0.000
Li1 0.000 0.000 0.000
Ge1 0.500 0.500 0.500
S1 0.000 0.000 0.500
```

Output
* E_form (uncorrected): -6.94 kcal/mol of atoms
* V: 199.0 Å³/f.u.
* crystal system: tetragonal



No. 3
First-principles (PBE) data for a relaxed structure of Cs2LiGeSb2, as listed in Alexandria.

Cell and atoms, written as CIF:
```
data_Cs2LiGeSb2
_space_group_name_H-M_alt 'I b a m'
_space_group_IT_number 72
_space_group_name_Hall '-I 2 2c'
_cell_length_a 7.180
_cell_length_b 17.267
_cell_length_c 7.143
_cell_angle_alpha 90.00
_cell_angle_beta 90.00
_cell_angle_gamma 90.00
loop_
_atom_site_label
_atom_site_fract_x
_atom_site_fract_y
_atom_site_fract_z
Cs1 0.239 0.168 0.000
Li1 0.000 0.000 0.250
Ge1 0.000 0.500 0.250
Sb1 0.235 0.417 0.000
```

Output
* E_form (uncorrected): -9.07 kcal/mol of atoms
* V: 221.4 Å³/f.u.
* crystal system: orthorhombic



No. 4
First-principles (PBE) data for a relaxed structure of CsLiScGe2, as listed in Alexandria.

Cell and atoms, written as CIF:
```
data_CsLiScGe2
_space_group_name_H-M_alt 'P 4/m m m'
_space_group_IT_number 123
_space_group_name_Hall '-P 4 2'
_cell_length_a 5.718
_cell_length_b 5.718
_cell_length_c 4.786
_cell_angle_alpha 90.00
_cell_angle_beta 90.00
_cell_angle_gamma 90.00
loop_
_atom_site_label
_atom_site_fract_x
_atom_site_fract_y
_atom_site_fract_z
Cs1 0.000 0.000 0.000
Li1 0.000 0.000 0.500
Sc1 0.500 0.500 0.500
Ge1 0.000 0.500 0.000
```

Output
* V: 156.5 Å³/f.u.
* crystal system: tetragonal
* formation energy: 1.2400 eV per atom